(1)
Tm2PaGa, optimized geometry, DFT PBE; calculated volume = 102.3 Å³/cell; excess energy over the best structure of this formula in the dataset = 267 meV per atom; electronic total energy = -5.29 eV/atom
1.0
1.632 0.942 11.090
-1.632 0.942 11.090
0.000 -1.884 11.090
Tm Pa Ga
2 1 1
direct
0.097 0.097 0.097 Tm
0.903 0.903 0.903 Tm
0.000 0.000 0.000 Pa
0.500 0.500 0.500 Ga

---

(2)
NdY2Ni9, optimized geometry, DFT PBE; calculated volume = 176.9 Å³/cell; electronic total energy = -6.18 eV/atom
1.0
2.505 1.447 8.133
-2.505 1.447 8.133
0.000 -2.893 8.133
Nd Y Ni
1 2 9
direct
0.000 0.000 0.000 Nd
0.140 0.140 0.140 Y
0.860 0.860 0.860 Y
0.082 0.583 0.583 Ni
0.333 0.333 0.333 Ni
0.417 0.417 0.918 Ni
0.417 0.918 0.417 Ni
0.500 0.500 0.500 Ni
0.583 0.082 0.583 Ni
0.583 0.583 0.082 Ni
0.667 0.667 0.667 Ni
0.918 0.417 0.417 Ni

---

(3)
CsMgCl2, optimized geometry, DFT PBE; calculated volume = 178.3 Å³/cell; excess energy over the best structure of this formula in the dataset = 14 meV per atom; electronic total energy = -2.84 eV/atom; E_form (uncorrected) = -1.302 eV/atom
1.0
2.412 1.392 8.850
-2.412 1.392 8.850
0.000 -2.785 8.850
Cs Mg Cl
1 1 2
direct
0.000 0.000 0.000 Cs
0.500 0.500 0.500 Mg
0.410 0.410 0.410 Cl
0.590 0.590 0.590 Cl

---

(4)
LiGaCl3, optimized geometry, DFT PBE; calculated volume = 538.3 Å³/cell; electronic total energy = -3.45 eV/atom; E_form (uncorrected) = -1.350 eV/atom
1.0
7.736 0.000 0.000
0.000 6.247 0.000
-4.755 0.000 11.141
Li Ga Cl
4 4 12
direct
0.121 0.011 0.176 Li
0.121 0.489 0.676 Li
0.879 0.511 0.324 Li
0.879 0.989 0.824 Li
0.359 0.591 0.431 Ga
0.359 0.909 0.931 Ga
0.641 0.091 0.069 Ga
0.641 0.409 0.569 Ga
0.147 0.114 0.781 Cl
0.147 0.386 0.281 Cl
0.154 0.710 0.510 Cl
0.154 0.790 0.010 Cl
0.411 0.627 0.834 Cl
0.411 0.873 0.334 Cl
0.589 0.127 0.666 Cl
0.589 0.373 0.166 Cl
0.846 0.210 0.990 Cl
0.846 0.290 0.490 Cl
0.853 0.614 0.719 Cl
0.853 0.886 0.219 Cl

---

(5)
Si2AsP, optimized geometry, DFT PBE; calculated volume = 154.3 Å³/cell; excess energy over the best structure of this formula in the dataset = 115 meV per atom; electronic total energy = -5.04 eV/atom; E_form (uncorrected) = 0.190 eV/atom
1.0
-3.030 3.030 4.204
3.030 -3.030 4.204
3.030 3.030 -4.204
Si As P
4 2 2
direct
0.107 0.625 0.982 Si
0.375 0.357 0.482 Si
0.643 0.125 0.018 Si
0.875 0.893 0.518 Si
0.250 0.750 0.500 As
0.500 0.500 0.000 As
0.000 0.000 0.000 P
0.750 0.250 0.500 P

---

(6)
La4SnAuO, optimized geometry, DFT PBE; calculated volume = 402.7 Å³/cell; electronic total energy = -5.83 eV/atom; E_form (uncorrected) = -1.270 eV/atom
1.0
3.450 -8.405 0.000
3.450 8.405 0.000
0.000 0.000 6.944
La Sn Au O
8 2 2 2
direct
0.000 0.500 0.000 La
0.000 0.500 0.500 La
0.058 0.942 0.750 La
0.420 0.580 0.750 La
0.500 0.000 0.000 La
0.500 0.000 0.500 La
0.580 0.420 0.250 La
0.942 0.058 0.250 La
0.389 0.611 0.250 Sn
0.611 0.389 0.750 Sn
0.120 0.880 0.250 Au
0.880 0.120 0.750 Au
0.261 0.739 0.750 O
0.739 0.261 0.250 O